Below is a geometry-optimized Zn2PtSe structure, with properties calculated at the PBE-GGA level.

Cell lengths 3.6487, 3.6487, 18.8514 Å; angles 90.00, 90.00, 120.00 degrees
Space group R-3m (No. 166, hexagonal axes)
Inequivalent atoms, fractional coordinates:
1 Zn 0.0000 0.0000 0.2480 [6 per cell]
2 Pt 0.0000 0.0000 0.5000 [3 per cell]
3 Se 0.0000 0.0000 0.0000 [3 per cell]

Summary:
- total energy (eV per cell) = -38.2
- crystal system = trigonal

***

Below is a geometry-optimized Zn2PtSe structure, with properties calculated at the PBE-GGA level.

Cell lengths 2.825, 3.493, 7.038 Å; angles 90.00, 90.00, 90.00 degrees
Space group Pmmm (No. 47)
Inequivalent atoms, fractional coordinates:
1 Zn 0.000 0.000 0.208 [2 per cell]
2 Pt 0.500 0.500 0.000 [1 per cell]
3 Se 0.000 0.500 0.500 [1 per cell]

Summary:
- total energy (eV per cell) = -13.2
- crystal system = orthorhombic

***

Below is a geometry-optimized ZnPt2Se structure, with properties calculated at the PBE-GGA level.

Cell lengths 4.077, 4.077, 16.852 Å; angles 90.00, 90.00, 90.00 degrees
Space group I-42d (No. 122)
Inequivalent atoms, fractional coordinates:
1 Zn 0.000 0.000 0.000 [4 per cell]
2 Pt 0.241 0.250 0.625 [8 per cell]
3 Se 0.000 0.000 0.500 [4 per cell]

Summary:
- total energy (eV per cell) = -69.3
- crystal system = tetragonal

***

Below is a geometry-optimized ZnPt2Se structure, with properties calculated at the PBE-GGA level.

Cell lengths 2.983, 2.983, 7.605 Å; angles 90.00, 90.00, 90.00 degrees
Space group P4mm (No. 99)
Inequivalent atoms, fractional coordinates:
1 Zn 0.000 0.000 0.000 [1 per cell]
2 Pt 0.000 0.000 0.459 [1 per cell]
3 Pt 0.500 0.500 0.202 [1 per cell]
4 Se 0.500 0.500 0.685 [1 per cell]

Summary:
- total energy (eV per cell) = -16.9
- crystal system = tetragonal

***

Number 1: E_form (uncorrected) -0.1621 eV/atom. Number 2: E_form (uncorrected) -0.2818 eV/atom. Number 3: E_form (uncorrected) -0.1233 eV/atom. Number 4: E_form (uncorrected) -0.0132 eV/atom.